(1)
Compound: Cr2AsF
Source: the Alexandria database
Functional: PBE+U
Structure: relaxed

## Properties
Space group: I-42d
N(E_F) (states/eV per cell): 0.00
V (Å³/cell): 136.7

Cell: 6.3524 6.3524 5.6267 Å, 55.63 55.63 90.00°
Last column: nearest neighbours and their distance in Å.
Fractional positions:
1 Cr 0.5881 0.1250 0.2500  2 F 2.25
2 Cr 0.1619 0.6250 0.2500  2 F 2.25
3 Cr 0.3750 0.4119 0.7500  2 F 2.25
4 Cr 0.8750 0.8381 0.7500  2 F 2.25
5 As 0.0000 0.0000 0.0000  4 Cr 2.56
6 As 0.7500 0.2500 0.5000  4 Cr 2.56
7 F 0.5000 0.5000 0.0000  4 Cr 2.25
8 F 0.2500 0.7500 0.5000  4 Cr 2.25

(2)
Compound: CrAsF2
Source: the Alexandria database
Functional: PBE+U
Structure: relaxed

## Properties
Space group: Fm-3m
N(E_F) (states/eV per cell): 2.85
V (Å³/cell): 52.8

Cell: 4.2115 4.2115 4.2115 Å, 60.00 60.00 60.00°
Last column: nearest neighbours and their distance in Å.
Fractional positions:
1 Cr 0.0000 0.0000 0.0000  8 F 2.58
2 As 0.5000 0.5000 0.5000  8 F 2.58
3 F 0.2500 0.2500 0.2500  4 As 2.58, 4 Cr 2.58
4 F 0.7500 0.7500 0.7500  4 Cr 2.58, 4 As 2.58

(3)
Compound: CrAs2F
Source: the Alexandria database
Functional: PBE+U
Structure: relaxed

## Properties
Space group: Fm-3m
N(E_F) (states/eV per cell): 2.40
V (Å³/cell): 62.5

Cell: 4.4550 4.4550 4.4550 Å, 60.00 60.00 60.00°
Last column: nearest neighbours and their distance in Å.
Fractional positions:
1 Cr 0.5000 0.5000 0.5000  8 As 2.73
2 As 0.2500 0.2500 0.2500  4 Cr 2.73, 4 F 2.73
3 As 0.7500 0.7500 0.7500  4 Cr 2.73, 4 F 2.73
4 F 0.0000 0.0000 0.0000  8 As 2.73

| no. | offset from the most stable computed form (eV/atom) |
| --- | --- |
| 1 | 0.0000 |
| 2 | 1.2800 |
| 3 | 0.2204 |